Computed, not measured: a PBEsol-optimized structure of ZrTeMo2 at the meta-GGA SCAN level of DFT.

## Properties
Its formation energy from raw total energies is 108 kJ/mol of formula units.

```
ZrTeMo2
1.0
6.5849 0.0000 0.0000
0.0000 6.5849 0.0000
0.0000 0.0000 6.5849
Zr Te Mo
4 4 8
Direct
0.0000 0.0000 0.0000
0.0000 0.5000 0.5000
0.5000 0.0000 0.5000
0.5000 0.5000 0.0000
0.2500 0.2500 0.2500
0.2500 0.7500 0.7500
0.7500 0.2500 0.7500
0.7500 0.7500 0.2500
0.0000 0.0000 0.5000
0.0000 0.5000 0.0000
0.2500 0.2500 0.7500
0.2500 0.7500 0.2500
0.5000 0.0000 0.0000
0.5000 0.5000 0.5000
0.7500 0.2500 0.2500
0.7500 0.7500 0.7500
```

***

Computed, not measured: a PBEsol-optimized structure of AcCeMg2 at the meta-GGA SCAN level of DFT.

## Properties
As for the formation energy: 0.1 eV/f.u.

```
AcCeMg2
1.0
7.8567 0.0000 0.0000
0.0000 7.8567 0.0000
0.0000 0.0000 7.8567
Ac Ce Mg
4 4 8
Direct
0.0000 0.0000 0.0000
0.0000 0.5000 0.5000
0.5000 0.0000 0.5000
0.5000 0.5000 0.0000
0.0000 0.0000 0.5000
0.0000 0.5000 0.0000
0.5000 0.0000 0.0000
0.5000 0.5000 0.5000
0.2500 0.2500 0.2500
0.2500 0.2500 0.7500
0.2500 0.7500 0.2500
0.2500 0.7500 0.7500
0.7500 0.2500 0.2500
0.7500 0.2500 0.7500
0.7500 0.7500 0.2500
0.7500 0.7500 0.7500
```

***

Computed, not measured: a PBEsol-optimized structure of MgCr2Pb at the meta-GGA SCAN level of DFT.

## Properties
As for the formation energy: 2.7 eV/f.u.

```
MgCr2Pb
1.0
2.9935 0.0000 0.0000
0.0000 4.6815 0.0000
-0.0868 0.0000 5.1406
Mg Cr Pb
1 2 1
Direct
0.0000 0.0000 0.0000
0.3262 0.5000 0.1605
0.6738 0.5000 0.8395
0.5000 0.0000 0.5000
```

***

Computed, not measured: a PBEsol-optimized structure of Nb3CrBi at the meta-GGA SCAN level of DFT.

## Properties
As for the formation energy: 3.3 eV/f.u. For the excess energy over the best structure of this formula in the dataset, the calculation gives 0 meV per atom.

```
Nb3CrBi
1.0
4.6432 0.0000 0.0000
0.0000 4.6432 0.0000
0.0000 0.0000 4.6432
Nb Cr Bi
3 1 1
Direct
0.0000 0.0000 0.5000
0.0000 0.5000 0.0000
0.5000 0.0000 0.0000
0.0000 0.0000 0.0000
0.5000 0.5000 0.5000
```

***

Computed, not measured: a PBEsol-optimized structure of BeTcTe2N at the meta-GGA SCAN level of DFT.

## Properties
Its formation energy from raw total energies is 272 kJ/mol of formula units.

```
BeTcTe2N
1.0
5.2921 0.0000 0.0000
0.0000 5.2921 0.0000
0.0000 0.0000 3.6253
Be Tc Te N
1 1 2 1
Direct
0.0000 0.0000 0.0000
0.5000 0.5000 0.5000
0.0000 0.5000 0.5000
0.5000 0.0000 0.5000
0.5000 0.5000 0.0000
```

***

Computed, not measured: a PBEsol-optimized structure of MgCoI3 at the meta-GGA SCAN level of DFT.

## Properties
Its formation energy from raw total energies is -5 kJ/mol of formula units.

```
MgCoI3
1.0
5.1950 0.0000 0.0000
0.0000 5.1950 0.0000
0.0000 0.0000 5.1950
Mg Co I
1 1 3
Direct
0.0000 0.0000 0.0000
0.5000 0.5000 0.5000
0.0000 0.5000 0.5000
0.5000 0.0000 0.5000
0.5000 0.5000 0.0000
```

***

Computed, not measured: a PBEsol-optimized structure of ScCoNi3 at the meta-GGA SCAN level of DFT.

## Properties
As for the formation energy: 2.1 eV/f.u.

```
ScCoNi3
1.0
4.2120 0.0000 0.0000
0.0000 4.2120 0.0000
0.0000 0.0000 4.2120
Sc Co Ni
1 1 3
Direct
0.0000 0.0000 0.0000
0.5000 0.5000 0.5000
0.0000 0.5000 0.5000
0.5000 0.0000 0.5000
0.5000 0.5000 0.0000
```

***

Computed, not measured: a PBEsol-optimized structure of Si2TcW at the meta-GGA SCAN level of DFT.

## Properties
Its formation energy from raw total energies is 35 kJ/mol of formula units. For the excess energy over the best structure of this formula in the dataset, the calculation gives 448 meV per atom.

```
Si2TcW
1.0
2.9975 0.0000 0.0000
0.0000 4.7487 0.0000
0.0000 0.0000 7.8480
Si Tc W
4 2 2
Direct
0.0000 0.0000 0.2453
0.0000 0.0000 0.7547
0.5000 0.5000 0.2547
0.5000 0.5000 0.7453
0.0000 0.5000 0.5000
0.5000 0.0000 0.0000
0.0000 0.5000 0.0000
0.5000 0.0000 0.5000
```

***

Computed, not measured: a PBEsol-optimized structure of Rb2HfNbPb at the meta-GGA SCAN level of DFT.

## Properties
As for the formation energy: 8.4 eV/f.u.

```
Rb2HfNbPb
1.0
6.4637 0.0000 0.0000
0.0000 6.4637 0.0000
0.0000 0.0000 5.4607
Rb Hf Nb Pb
2 1 1 1
Direct
0.0000 0.5000 0.0000
0.5000 0.0000 0.0000
0.0000 0.0000 0.5000
0.5000 0.5000 0.5000
0.5000 0.5000 0.0000
```

***

Computed, not measured: a PBEsol-optimized structure of NiHgOs2Ru at the meta-GGA SCAN level of DFT.

## Properties
As for the formation energy: 10.0 eV/f.u.

```
NiHgOs2Ru
1.0
4.3619 0.0000 0.0000
0.0000 4.3619 0.0000
0.0000 0.0000 4.5558
Ni Hg Os Ru
1 1 2 1
Direct
0.0000 0.0000 0.0000
0.0000 0.0000 0.5000
0.0000 0.5000 0.0000
0.5000 0.0000 0.0000
0.5000 0.5000 0.5000
```

***

Computed, not measured: a PBEsol-optimized structure of SrSc2In2 at the meta-GGA SCAN level of DFT.

## Properties
As for the formation energy: -2.3 eV/f.u.

```
SrSc2In2
1.0
8.8214 0.0000 0.0000
0.0000 8.8214 0.0000
0.0000 0.0000 3.2272
Sr Sc In
2 4 4
Direct
0.0000 0.0000 0.0000
0.5000 0.5000 0.0000
0.1201 0.3799 0.0000
0.3799 0.8799 0.0000
0.6201 0.1201 0.0000
0.8799 0.6201 0.0000
0.1758 0.6758 0.5000
0.3242 0.1758 0.5000
0.6758 0.8242 0.5000
0.8242 0.3242 0.5000
```

***

Computed, not measured: a PBEsol-optimized structure of AsIr2Ru at the meta-GGA SCAN level of DFT.

## Properties
As for the formation energy: 1.8 eV/f.u.

```
AsIr2Ru
1.0
2.7064 0.0000 0.0000
0.0000 4.7218 0.0000
0.0000 0.0000 9.2066
As Ir Ru
2 4 2
Direct
0.0000 0.0000 0.0000
0.5000 0.5000 0.0000
0.0000 0.5000 0.2549
0.0000 0.5000 0.7451
0.5000 0.0000 0.2549
0.5000 0.0000 0.7451
0.0000 0.0000 0.5000
0.5000 0.5000 0.5000
```